5
Lattice="5.395 0.000 0.000 0.000 5.395 0.000 0.000 0.000 4.920" Properties=species:S:1:pos:R:3 comment="GaHg2PtI, relaxed, DFT PBE" formation_energy_uncorrected_mev_per_atom=-194 magnetic_moment_mub_per_fu=0.0 mass_density_g_cm3=9.2 pbc="T T T"
I 2.698 2.698 2.460
Ga 0.000 0.000 2.460
Hg 0.000 2.698 0.000
Hg 2.698 0.000 0.000
Pt 0.000 0.000 0.000

5
Lattice="-4.538 1.230 -1.564 -1.289 -4.785 -0.022 -1.661 0.424 5.153" Properties=species:S:1:pos:R:3 comment="Ga2HgPtI, relaxed, DFT PBE" formation_energy_uncorrected_mev_per_atom=-324 magnetic_moment_mub_per_fu=0.0 mass_density_g_cm3=8.2 pbc="T T T"
I -3.744 -1.566 1.783
Ga -0.644 -2.392 -0.011
Ga -2.269 0.615 -0.782
Hg -0.831 0.212 2.577
Pt 0.000 0.000 0.000

12
Lattice="7.630 0.000 0.000 -3.815 6.608 0.000 0.000 0.000 11.129" Properties=species:S:1:pos:R:3 comment="RbGa2HgI8, relaxed, DFT PBE" formation_energy_uncorrected_mev_per_atom=-584 magnetic_moment_mub_per_fu=0.0 mass_density_g_cm3=4.3 pbc="T T T"
Rb 0.000 0.000 0.000
Ga 3.815 2.203 2.586
Ga 0.000 4.405 8.544
Hg 0.000 0.000 5.565
I 0.000 4.405 11.125
I 1.348 2.151 3.410
I 5.094 0.092 3.410
I 3.815 2.203 0.005
I -1.279 6.516 7.719
I 2.467 4.457 7.719
I -1.189 2.242 7.719
I 5.004 4.365 3.410

5
Lattice="-3.842 -1.598 -5.112 5.296 -0.585 -3.797 0.470 -6.368 1.636" Properties=species:S:1:pos:R:3 comment="RbGa2HgI, relaxed, DFT PBE" formation_energy_uncorrected_mev_per_atom=534 magnetic_moment_mub_per_fu=0.0 mass_density_g_cm3=3.2 pbc="T T T"
I 0.962 -4.275 -3.636
Ga 0.235 -3.184 0.818
Ga -1.921 -0.799 -2.556
Hg 2.648 -0.292 -1.899
Rb 0.000 0.000 0.000

11
Lattice="-3.745 9.042 1.966 -7.769 4.029 2.829 7.190 0.500 7.765" Properties=species:S:1:pos:R:3 comment="Rb2Ga2HgI6, relaxed, DFT PBE" formation_energy_uncorrected_mev_per_atom=-815 magnetic_moment_mub_per_fu=0.0 mass_density_g_cm3=3.8 pbc="T T T"
Rb 0.607 9.674 8.940
Rb -4.931 3.898 3.620
Ga 0.331 4.092 6.946
Ga -4.655 9.479 5.614
Hg 1.722 4.771 4.865
I -0.056 5.991 8.836
I -1.767 2.461 2.117
I -5.956 12.451 8.376
I -2.557 11.111 10.442
I 1.632 1.121 4.184
I -4.268 7.580 3.723

12
Lattice="6.827 0.000 0.000 -3.414 7.322 0.000 0.000 0.000 9.577" Properties=species:S:1:pos:R:3 comment="Ga2Hg4SbI5, relaxed, DFT PBE" formation_energy_uncorrected_mev_per_atom=-192 magnetic_moment_mub_per_fu=0.0 mass_density_g_cm3=5.9 pbc="T T T"
Ga 4.592 4.549 4.789
Ga 1.178 2.773 4.789
Hg 4.067 0.000 1.900
Hg 4.067 0.000 7.678
Hg 2.290 2.915 0.000
Hg -1.124 4.406 0.000
Sb 2.078 0.000 0.000
I -0.846 2.203 2.462
I 2.662 0.000 4.789
I -0.846 2.203 7.115
I 2.567 5.119 7.115
I 2.567 5.119 2.462

Please write out number 6 again, unchanged.
12
Lattice="6.827 0.000 0.000 -3.414 7.322 0.000 0.000 0.000 9.577" Properties=species:S:1:pos:R:3 comment="Ga2Hg4SbI5, relaxed, DFT PBE" formation_energy_uncorrected_mev_per_atom=-192 magnetic_moment_mub_per_fu=0.0 mass_density_g_cm3=5.9 pbc="T T T"
Ga 4.592 4.549 4.789
Ga 1.178 2.773 4.789
Hg 4.067 0.000 1.900
Hg 4.067 0.000 7.678
Hg 2.290 2.915 0.000
Hg -1.124 4.406 0.000
Sb 2.078 0.000 0.000
I -0.846 2.203 2.462
I 2.662 0.000 4.789
I -0.846 2.203 7.115
I 2.567 5.119 7.115
I 2.567 5.119 2.462